[1]
# Pm8Sn2Pt, optimized geometry, DFT PBE
# Formation energy in kJ/mol of atoms: -48.8
# Theoretical density in g cm⁻³: 7.9
# D(E_F) in states/eV/cell: 9.0
# Uncorrected energy in eV per atom: -5.237
# Crystal system: monoclinic
data_Pm8Sn2Pt
_symmetry_space_group_name_H-M 'P 1'
_symmetry_Int_Tables_number 1
_symmetry_space_group_name_Hall 'P 1'
_cell_length_a 5.069
_cell_length_b 6.929
_cell_length_c 10.213
_cell_angle_alpha 104.24
_cell_angle_beta 104.37
_cell_angle_gamma 90.00
loop_
_atom_site_label
_atom_site_type_symbol
_atom_site_fract_x
_atom_site_fract_y
_atom_site_fract_z
Pm1 Pm 0.352 0.000 0.703
Pm2 Pm 0.018 0.782 0.035
Pm3 Pm 0.982 0.218 0.965
Pm4 Pm 0.783 0.678 0.566
Pm5 Pm 0.217 0.322 0.434
Pm6 Pm 0.408 0.532 0.816
Pm7 Pm 0.592 0.468 0.184
Pm8 Pm 0.648 0.000 0.297
Sn1 Sn 0.181 0.755 0.363
Sn2 Sn 0.819 0.245 0.637
Pt1 Pt 0.500 0.000 0.000


[2]
# Pm3SnPt, optimized geometry, DFT PBE
# Formation energy in kJ/mol of atoms: -49.2
# Theoretical density in g cm⁻³: 7.4
# D(E_F) in states/eV/cell: 5.3
# Uncorrected energy in eV per atom: -5.369
# Crystal system: cubic
data_Pm3SnPt
_symmetry_space_group_name_H-M 'P 1'
_symmetry_Int_Tables_number 1
_symmetry_space_group_name_Hall 'P 1'
_cell_length_a 5.519
_cell_length_b 5.519
_cell_length_c 5.519
_cell_angle_alpha 90.00
_cell_angle_beta 90.00
_cell_angle_gamma 90.00
loop_
_atom_site_label
_atom_site_type_symbol
_atom_site_fract_x
_atom_site_fract_y
_atom_site_fract_z
Pt1 Pt 0.000 0.000 0.000
Pm1 Pm 0.500 0.000 0.000
Pm2 Pm 0.000 0.000 0.500
Pm3 Pm 0.000 0.500 0.000
Sn1 Sn 0.500 0.500 0.500


[3]
# Pm3SnPt2, optimized geometry, DFT PBE
# Formation energy in kJ/mol of atoms: -84.2
# Theoretical density in g cm⁻³: 9.4
# D(E_F) in states/eV/cell: 10.2
# Uncorrected energy in eV per atom: -5.928
# Crystal system: trigonal
data_Pm3SnPt2
_symmetry_space_group_name_H-M 'P 1'
_symmetry_Int_Tables_number 1
_symmetry_space_group_name_Hall 'P 1'
_cell_length_a 7.989
_cell_length_b 7.989
_cell_length_c 7.989
_cell_angle_alpha 56.85
_cell_angle_beta 56.85
_cell_angle_gamma 56.85
loop_
_atom_site_label
_atom_site_type_symbol
_atom_site_fract_x
_atom_site_fract_y
_atom_site_fract_z
Pm1 Pm 0.534 0.966 0.250
Pm2 Pm 0.750 0.466 0.034
Pm3 Pm 0.466 0.034 0.750
Pm4 Pm 0.034 0.750 0.466
Pm5 Pm 0.966 0.250 0.534
Pm6 Pm 0.250 0.534 0.966
Pt1 Pt 0.146 0.146 0.146
Pt2 Pt 0.854 0.854 0.854
Pt3 Pt 0.646 0.646 0.646
Pt4 Pt 0.354 0.354 0.354
Sn1 Sn 0.500 0.500 0.500
Sn2 Sn 0.000 0.000 0.000


[4]
# Pm4SnPt, optimized geometry, DFT PBE
# Formation energy in kJ/mol of atoms: -64.2
# Theoretical density in g cm⁻³: 8.2
# D(E_F) in states/eV/cell: 11.7
# Uncorrected energy in eV per atom: -5.506
# Crystal system: monoclinic
data_Pm4SnPt
_symmetry_space_group_name_H-M 'P 1'
_symmetry_Int_Tables_number 1
_symmetry_space_group_name_Hall 'P 1'
_cell_length_a 6.265
_cell_length_b 6.925
_cell_length_c 8.875
_cell_angle_alpha 90.00
_cell_angle_beta 110.54
_cell_angle_gamma 90.00
loop_
_atom_site_label
_atom_site_type_symbol
_atom_site_fract_x
_atom_site_fract_y
_atom_site_fract_z
Pm1 Pm 0.604 0.250 0.881
Pm2 Pm 0.578 0.250 0.413
Pm3 Pm 0.988 0.002 0.279
Pm4 Pm 0.012 0.998 0.721
Pm5 Pm 0.012 0.502 0.721
Pm6 Pm 0.988 0.498 0.279
Pm7 Pm 0.396 0.750 0.119
Pm8 Pm 0.422 0.750 0.587
Pt1 Pt 0.754 0.750 0.438
Pt2 Pt 0.246 0.250 0.562
Sn1 Sn 0.224 0.250 0.054
Sn2 Sn 0.776 0.750 0.946


[5]
# Sr2PmSn3Pt4, optimized geometry, DFT PBE
# Formation energy in kJ/mol of atoms: -82.7
# Theoretical density in g cm⁻³: 9.7
# D(E_F) in states/eV/cell: 4.0
# Uncorrected energy in eV per atom: -5.286
# Crystal system: tetragonal
data_Sr2PmSn3Pt4
_symmetry_space_group_name_H-M 'P 1'
_symmetry_Int_Tables_number 1
_symmetry_space_group_name_Hall 'P 1'
_cell_length_a 4.711
_cell_length_b 4.711
_cell_length_c 11.195
_cell_angle_alpha 90.00
_cell_angle_beta 90.00
_cell_angle_gamma 90.00
loop_
_atom_site_label
_atom_site_type_symbol
_atom_site_fract_x
_atom_site_fract_y
_atom_site_fract_z
Sn1 Sn 0.000 0.500 0.118
Sn2 Sn 0.000 0.000 0.500
Sn3 Sn 0.500 0.000 0.882
Sr1 Sr 0.500 0.000 0.226
Sr2 Sr 0.000 0.500 0.774
Pt1 Pt 0.000 0.500 0.354
Pt2 Pt 0.500 0.000 0.646
Pt3 Pt 0.500 0.500 0.000
Pt4 Pt 0.000 0.000 0.000
Pm1 Pm 0.500 0.500 0.500


[6]
# TbPm2Sn3Pt4, optimized geometry, DFT PBE
# Formation energy in kJ/mol of atoms: -86.3
# Theoretical density in g cm⁻³: 11.2
# D(E_F) in states/eV/cell: 7.4
# Uncorrected energy in eV per atom: -5.925
# Crystal system: tetragonal
data_TbPm2Sn3Pt4
_symmetry_space_group_name_H-M 'P 1'
_symmetry_Int_Tables_number 1
_symmetry_space_group_name_Hall 'P 1'
_cell_length_a 4.578
_cell_length_b 4.578
_cell_length_c 11.226
_cell_angle_alpha 90.00
_cell_angle_beta 90.00
_cell_angle_gamma 90.00
loop_
_atom_site_label
_atom_site_type_symbol
_atom_site_fract_x
_atom_site_fract_y
_atom_site_fract_z
Sn1 Sn 0.000 0.500 0.126
Sn2 Sn 0.500 0.000 0.874
Sn3 Sn 0.000 0.000 0.500
Pt1 Pt 0.000 0.500 0.356
Pt2 Pt 0.500 0.500 0.000
Pt3 Pt 0.000 0.000 0.000
Pt4 Pt 0.500 0.000 0.644
Tb1 Tb 0.500 0.500 0.500
Pm1 Pm 0.000 0.500 0.785
Pm2 Pm 0.500 0.000 0.215


[7]
# TbPmSnPt, optimized geometry, DFT PBE
# Formation energy in kJ/mol of atoms: -78.6
# Theoretical density in g cm⁻³: 10.2
# D(E_F) in states/eV/cell: 1.7
# Uncorrected energy in eV per atom: -5.671
# Crystal system: cubic
data_TbPmSnPt
_symmetry_space_group_name_H-M 'P 1'
_symmetry_Int_Tables_number 1
_symmetry_space_group_name_Hall 'P 1'
_cell_length_a 5.226
_cell_length_b 5.226
_cell_length_c 5.226
_cell_angle_alpha 60.00
_cell_angle_beta 60.00
_cell_angle_gamma 60.00
loop_
_atom_site_label
_atom_site_type_symbol
_atom_site_fract_x
_atom_site_fract_y
_atom_site_fract_z
Sn1 Sn 0.500 0.500 0.500
Tb1 Tb 0.250 0.250 0.250
Pm1 Pm 0.750 0.750 0.750
Pt1 Pt 0.000 0.000 0.000


[8]
# Pm2TmSn3Pt4, optimized geometry, DFT PBE
# Formation energy in kJ/mol of atoms: -87.9
# Theoretical density in g cm⁻³: 11.4
# D(E_F) in states/eV/cell: 7.6
# Uncorrected energy in eV per atom: -5.925
# Crystal system: tetragonal
data_Pm2TmSn3Pt4
_symmetry_space_group_name_H-M 'P 1'
_symmetry_Int_Tables_number 1
_symmetry_space_group_name_Hall 'P 1'
_cell_length_a 4.575
_cell_length_b 4.575
_cell_length_c 11.114
_cell_angle_alpha 90.00
_cell_angle_beta 90.00
_cell_angle_gamma 90.00
loop_
_atom_site_label
_atom_site_type_symbol
_atom_site_fract_x
_atom_site_fract_y
_atom_site_fract_z
Sn1 Sn 0.000 0.500 0.127
Sn2 Sn 0.500 0.000 0.873
Sn3 Sn 0.000 0.000 0.500
Pm1 Pm 0.000 0.500 0.781
Pm2 Pm 0.500 0.000 0.219
Pt1 Pt 0.000 0.500 0.360
Pt2 Pt 0.500 0.500 0.000
Pt3 Pt 0.500 0.000 0.640
Pt4 Pt 0.000 0.000 0.000
Tm1 Tm 0.500 0.500 0.500